Entry 1:
Material: BeCoTe2
Method: DFT, PBE
State: relaxed

Cell lengths 3.287, 3.288, 7.627 Å; angles 90.00, 90.00, 90.00 degrees
Positions (direct):
Te 0.000 0.000 0.872
Te 0.500 0.500 0.373
Co 0.500 0.500 0.700
Be 0.000 0.000 0.554

Computed properties:
E_form (uncorrected)	111.4	meV per atom
V	82.43	Å³ per cell
magnetization	0.00	μB per formula unit
total DFT energy (no corrections)	-4.167	eV per atom

Entry 2:
Material: Zr4GeAu
Method: DFT, PBE
State: relaxed

Cell lengths 5.586, 6.707, 6.707 Å; angles 90.00, 90.00, 90.00 degrees
Positions (direct):
Au 0.250 0.000 0.000
Au 0.750 0.000 0.000
Zr 0.500 0.651 0.160
Zr 0.000 0.160 0.651
Zr 0.500 0.160 0.349
Zr 0.500 0.349 0.840
Zr 0.000 0.349 0.160
Zr 0.000 0.840 0.349
Zr 0.500 0.840 0.651
Zr 0.000 0.651 0.840
Ge 0.250 0.500 0.500
Ge 0.750 0.500 0.500

Computed properties:
V	251.30	Å³ per cell
magnetization	0.00	μB per formula unit
total DFT energy (no corrections)	-7.534	eV per atom
energy relative to the elements	-0.52	eV per atom

Entry 3:
Material: AcPrPdAu
Method: DFT, PBE
State: relaxed

Cell lengths 4.065, 4.882, 5.996 Å; angles 90.00, 109.81, 90.00 degrees
Positions (direct):
Ac 0.139 0.000 0.277
Pd 0.414 0.000 0.829
Pr 0.865 0.500 0.730
Au 0.582 0.500 0.164

Computed properties:
V	111.94	Å³ per cell
magnetization	0.00	μB per formula unit
energy above the lowest structure with this stoichiometry	0.000	eV/atom
total DFT energy (no corrections)	-5.124	eV per atom
energy relative to the elements	-0.78	eV per atom

Entry 4:
Material: NaNbCl6
Method: DFT, PBE
State: relaxed

Cell lengths 6.673, 6.671, 7.126 Å; angles 62.06, 62.04, 59.97 degrees
Positions (direct):
Cl 0.787 0.069 0.771
Cl 0.213 0.931 0.229
Cl 0.372 0.787 0.771
Cl 0.069 0.372 0.771
Cl 0.931 0.628 0.229
Cl 0.628 0.213 0.229
Na 0.500 0.500 0.500
Nb 0.000 0.000 0.000

Computed properties:
E_form (uncorrected)	-1364.7	meV per atom
V	230.92	Å³ per cell
magnetization	0.00	μB per formula unit
energy above the lowest structure with this stoichiometry	0.021	eV/atom
total DFT energy (no corrections)	-4.173	eV per atom

Entry 5:
Material: YLu2Hg
Method: DFT, PBE
State: relaxed

Cell lengths 3.557, 3.557, 10.613 Å; angles 80.35, 80.35, 60.00 degrees
Positions (direct):
Hg 0.000 0.000 0.000
Lu 0.258 0.258 0.227
Lu 0.742 0.742 0.773
Y 0.500 0.500 0.500

Computed properties:
V	114.11	Å³ per cell
magnetization	0.00	μB per formula unit
energy above the lowest structure with this stoichiometry	0.075	eV/atom
total DFT energy (no corrections)	-4.108	eV per atom
energy relative to the elements	-0.16	eV per atom

Entry 6:
Material: Mn6PPd12
Method: DFT, PBE
State: relaxed

Cell lengths 7.125, 7.125, 7.125 Å; angles 108.55, 108.55, 108.55 degrees
Positions (direct):
Mn 0.357 0.615 0.672
Mn 0.385 0.328 0.643
Mn 0.643 0.385 0.328
Mn 0.328 0.643 0.385
Mn 0.672 0.357 0.615
Mn 0.615 0.672 0.357
Pd 0.325 0.103 0.962
Pd 0.962 0.325 0.103
Pd 0.480 0.969 0.294
Pd 0.520 0.031 0.706
Pd 0.103 0.962 0.325
Pd 0.031 0.706 0.520
Pd 0.969 0.294 0.480
Pd 0.675 0.897 0.038
Pd 0.294 0.480 0.969
Pd 0.897 0.038 0.675
Pd 0.706 0.520 0.031
Pd 0.038 0.675 0.897
P 0.000 0.000 0.000

Computed properties:
V	287.55	Å³ per cell
magnetization	0.00	μB per formula unit
total DFT energy (no corrections)	-6.236	eV per atom
energy relative to the elements	0.22	eV per atom

Entry 7:
Material: BeZnTe2
Method: DFT, PBE
State: relaxed

Cell lengths 4.865, 4.865, 3.657 Å; angles 90.00, 90.00, 82.44 degrees
Positions (direct):
Te 0.000 0.000 0.000
Te 0.500 0.500 0.000
Be 0.000 0.500 0.500
Zn 0.500 0.000 0.500

Computed properties:
E_form (uncorrected)	510.5	meV per atom
V	85.79	Å³ per cell
magnetization	0.00	μB per formula unit
energy above the lowest structure with this stoichiometry	0.918	eV/atom
total DFT energy (no corrections)	-2.310	eV per atom

Entry 8:
Material: AgMo2Pb
Method: DFT, PBE
State: relaxed

Cell lengths 4.574, 3.992, 3.992 Å; angles 90.00, 90.00, 90.00 degrees
Positions (direct):
Ag 0.500 0.000 0.500
Mo 0.000 0.000 0.000
Mo 0.000 0.500 0.500
Pb 0.500 0.500 0.000

Computed properties:
V	72.89	Å³ per cell
magnetization	0.00	μB per formula unit
total DFT energy (no corrections)	-6.333	eV per atom
energy relative to the elements	0.72	eV per atom